Entry 1:
# KBa4Os

A geometry-optimized KBa4Os structure (GGA-PBE, the Alexandria database).

a b c (Å): 10.2972 10.2972 10.2972
angles (deg): 90.00 90.00 90.00
With the nearest neighbours (Å) after each atom.
Space group F-43m (No. 216)
Unique sites:
K 0.0000 0.0000 0.0000 x4  12 Ba 4.28, 4 Os 4.46
Ba 0.1224 0.1224 0.3776 x16  6 Ba 3.57-3.72
Os 0.2500 0.2500 0.7500 x4  12 Ba 4.26, 4 K 4.46

Total DFT energy (no corrections)   -51.4 eV/cell


Entry 2:
# Rb4SbS4

A geometry-optimized Rb4SbS4 structure (GGA-PBE, the Alexandria database).

a b c (Å): 7.8597 7.8597 13.6129
angles (deg): 90.00 90.00 90.00
With the nearest neighbours (Å) after each atom.
Space group I-42m (No. 121)
Unique sites:
Rb 0.0000 0.0000 0.2062 x4  2 S 3.25
Rb 0.0000 0.5000 0.0000 x4  4 S 3.23
Sb 0.0000 0.0000 0.5000 x2  4 S 2.52
S 0.1840 0.1840 0.6087 x8  1 Sb 2.52

Energy relative to the lowest polymorph listed for this composition   49 meV per atom
Total DFT energy (no corrections)   -64.0 eV/cell
ΔE_f (raw)   -830 meV per atom


Entry 3:
# Cs3Ga4Au4

A geometry-optimized Cs3Ga4Au4 structure (GGA-PBE, the Alexandria database).

a b c (Å): 4.7277 5.2335 26.5703
angles (deg): 90.00 90.00 90.00
With the nearest neighbours (Å) after each atom.
Space group Immm (No. 71)
Unique sites:
Cs 0.0000 0.0000 0.0000 x2  4 Ga 3.81, 8 Au 3.82
Cs 0.0000 0.5000 0.3539 x4  7 Au 3.56-3.97, 8 Ga 3.65-3.78
Ga 0.0000 0.0000 0.2510 x4  4 Au 2.64-2.89
Ga 0.0000 0.5000 0.1044 x4  3 Au 2.66-2.70
Au 0.0000 0.0000 0.4445 x4  2 Ga 2.70, 1 Au 2.95
Au 0.0000 0.5000 0.2045 x4  5 Ga 2.64-2.89

Energy relative to the lowest polymorph listed for this composition   27 meV per atom
Total DFT energy (no corrections)   -59.6 eV/cell


Entry 4:
# AcPuGaO6

A geometry-optimized AcPuGaO6 structure (GGA-PBE, the Alexandria database).

a b c (Å): 5.3785 5.3785 5.4698
angles (deg): 90.00 90.00 120.00
With the nearest neighbours (Å) after each atom.
Space group P312 (No. 149)
Unique sites:
Ac 0.0000 0.0000 0.0000 x1  6 O 2.54
Pu 0.3333 0.6667 0.5000 x1  6 O 2.08
Ga 0.6667 0.3333 0.5000 x1  6 O 2.03
O 0.3702 0.0065 0.7086 x6  1 Ga 2.03, 1 Pu 2.08

Total DFT energy (no corrections)   -74.4 eV/cell
ΔE_f (raw)   -2578 meV per atom


Entry 5:
# Sr3AlPb

A geometry-optimized Sr3AlPb structure (GGA-PBE, the Alexandria database).

a b c (Å): 6.1266 6.1266 6.1266
angles (deg): 90.00 90.00 90.00
With the nearest neighbours (Å) after each atom.
Space group Pm-3m (No. 221)
Unique sites:
Sr 0.0000 0.0000 0.5000 x3  2 Al 3.06
Al 0.0000 0.0000 0.0000 x1  6 Sr 3.06
Pb 0.5000 0.5000 0.5000 x1  12 Sr 4.33

Energy relative to the lowest polymorph listed for this composition   0 meV per atom
Total DFT energy (no corrections)   -12.0 eV/cell


Entry 6:
# Ca2Pa2Se7

A geometry-optimized Ca2Pa2Se7 structure (GGA-PBE, the Alexandria database).

a b c (Å): 9.0786 10.2077 7.0377
angles (deg): 90.00 90.00 90.00
With the nearest neighbours (Å) after each atom.
Space group Cmmm (No. 65)
Unique sites:
Ca 0.2367 0.0000 0.0000 x4  6 Se 2.85-3.10
Pa 0.0000 0.2264 0.5000 x4  7 Se 2.79-2.89
Se 0.0000 0.0000 0.2650 x4  2 Pa 2.84, 2 Ca 2.85
Se 0.0000 0.5000 0.5000 x2  2 Pa 2.79
Se 0.2500 0.2500 0.2488 x8  2 Pa 2.89, 2 Ca 3.10

Energy relative to the lowest polymorph listed for this composition   57 meV per atom
Total DFT energy (no corrections)   -126.2 eV/cell
ΔE_f (raw)   -1430 meV per atom


Entry 7:
# TbNd2DyAs4

A geometry-optimized TbNd2DyAs4 structure (GGA-PBE, the Alexandria database).

a b c (Å): 7.2739 4.2037 7.2766
angles (deg): 90.00 109.47 90.00
With the nearest neighbours (Å) after each atom.
Space group P2/m (No. 10)
Unique sites:
Tb 0.0000 0.0000 0.0000 x1  6 As 2.94
Nd 0.5000 0.0000 0.5000 x1  6 As 3.00
Nd 0.5000 0.5000 0.0000 x1  6 As 3.01
Dy 0.0000 0.5000 0.5000 x1  6 As 2.93-2.94
As 0.2411 0.0000 0.7465 x2  2 Dy 2.94, 1 Tb 2.94, 3 Nd 3.00-3.01
As 0.2415 0.5000 0.2477 x2  1 Dy 2.93, 2 Tb 2.94, 3 Nd 3.00-3.01

Total DFT energy (no corrections)   -49.5 eV/cell


Entry 8:
# ZrAl2Ga

A geometry-optimized ZrAl2Ga structure (GGA-PBE, the Alexandria database).

a b c (Å): 4.0991 4.0991 4.1241
angles (deg): 90.00 90.00 90.00
With the nearest neighbours (Å) after each atom.
Space group P4/mmm (No. 123)
Unique sites:
Zr 0.0000 0.0000 0.0000 x1  4 Ga 2.90, 8 Al 2.91
Al 0.0000 0.5000 0.5000 x2  4 Al 2.90, 4 Zr 2.91, 4 Ga 2.91
Ga 0.5000 0.5000 0.0000 x1  4 Zr 2.90, 8 Al 2.91

Total DFT energy (no corrections)   -20.9 eV/cell


Entry 9:
# CaHg2Sb

A geometry-optimized CaHg2Sb structure (GGA-PBE, the Alexandria database).

a b c (Å): 4.0733 4.0733 6.4650
angles (deg): 90.00 90.00 90.00
With the nearest neighbours (Å) after each atom.
Space group P4/mmm (No. 123)
Unique sites:
Ca 0.0000 0.0000 0.0000 x1  2 Sb 3.23, 8 Hg 3.33
Hg 0.5000 0.5000 0.2589 x2  2 Hg 3.12-3.35, 4 Sb 3.27, 4 Ca 3.33
Sb 0.0000 0.0000 0.5000 x1  2 Ca 3.23, 8 Hg 3.27

Total DFT energy (no corrections)   -8.0 eV/cell
ΔE_f (raw)   -322 meV per atom


Entry 10:
# LiPrSmCu

A geometry-optimized LiPrSmCu structure (GGA-PBE, the Alexandria database).

a b c (Å): 7.3315 7.3315 7.3315
angles (deg): 90.00 90.00 90.00
With the nearest neighbours (Å) after each atom.
Space group F-43m (No. 216)
Unique sites:
Li 0.0000 0.0000 0.0000 x4  4 Sm 3.17, 4 Pr 3.17
Pr 0.2500 0.2500 0.7500 x4  4 Li 3.17, 4 Cu 3.17
Sm 0.2500 0.2500 0.2500 x4  4 Cu 3.17, 4 Li 3.17
Cu 0.0000 0.0000 0.5000 x4  4 Pr 3.17, 4 Sm 3.17

Total DFT energy (no corrections)   -61.7 eV/cell


Entry 11:
# Re4NiB

A geometry-optimized Re4NiB structure (GGA-PBE, the Alexandria database).

a b c (Å): 5.4871 5.4871 10.4356
angles (deg): 90.00 90.00 90.00
With the nearest neighbours (Å) after each atom.
Space group I4/mcm (No. 140)
Unique sites:
Re 0.1678 0.3322 0.1402 x16  2 B 2.34, 2 Ni 2.51, 2 Re 2.60-2.62
Ni 0.0000 0.0000 0.0000 x4  8 Re 2.51, 2 B 2.61
B 0.0000 0.0000 0.2500 x4  8 Re 2.34, 2 Ni 2.61

Total DFT energy (no corrections)   -246.3 eV/cell


Entry 12:
# Tl5Sb2

A geometry-optimized Tl5Sb2 structure (GGA-PBE, the Alexandria database).

a b c (Å): 16.4473 7.8786 7.0145
angles (deg): 90.00 90.27 90.00
With the nearest neighbours (Å) after each atom.
Space group C2/c (No. 15)
Unique sites:
Tl 0.0000 0.0005 0.2500 x4  4 Sb 3.18, 6 Tl 3.51-3.54
Tl 0.0910 0.3414 0.5022 x8  4 Sb 3.24-3.60, 4 Tl 3.54-3.59
Tl 0.2351 0.0058 0.7475 x8  4 Sb 3.35-3.72, 4 Tl 3.51-3.59
Sb 0.1083 0.2492 0.0010 x8  6 Tl 3.18-3.37

Energy relative to the lowest polymorph listed for this composition   0 meV per atom
Total DFT energy (no corrections)   -80.1 eV/cell
ΔE_f (raw)   6 meV per atom


Entry 13:
# Cs2IBr2

A geometry-optimized Cs2IBr2 structure (GGA-PBE, the Alexandria database).

a b c (Å): 4.8565 4.8565 19.7146
angles (deg): 90.00 90.00 90.00
With the nearest neighbours (Å) after each atom.
Space group I4/mmm (No. 139)
Unique sites:
Cs 0.0000 0.0000 0.1114 x4  4 Br 3.65, 4 I 4.08
I 0.0000 0.0000 0.5000 x2  8 Cs 4.08
Br 0.0000 0.5000 0.2500 x4  4 Br 3.43, 4 Cs 3.65

Energy relative to the lowest polymorph listed for this composition   95 meV per atom
Total DFT energy (no corrections)   -25.2 eV/cell
ΔE_f (raw)   -1203 meV per atom


Entry 14:
# CeHgGePd

A geometry-optimized CeHgGePd structure (GGA-PBE, the Alexandria database).

a b c (Å): 6.9657 6.9657 6.9657
angles (deg): 90.00 90.00 90.00
With the nearest neighbours (Å) after each atom.
Space group F-43m (No. 216)
Unique sites:
Ce 0.0000 0.0000 0.0000 x4  4 Pd 3.02, 4 Ge 3.02
Hg 0.0000 0.0000 0.5000 x4  4 Ge 3.02, 4 Pd 3.02
Ge 0.2500 0.2500 0.7500 x4  4 Hg 3.02, 4 Ce 3.02
Pd 0.2500 0.2500 0.2500 x4  4 Hg 3.02, 4 Ce 3.02

Total DFT energy (no corrections)   -70.8 eV/cell


Entry 15:
# Cd4GaHg2

A geometry-optimized Cd4GaHg2 structure (GGA-PBE, the Alexandria database).

a b c (Å): 4.9320 4.9320 24.3691
angles (deg): 90.00 90.00 120.00
With the nearest neighbours (Å) after each atom.
Space group R-3m (No. 166, hexagonal axes)
Unique sites:
Cd 0.0000 0.0000 0.1203 x6  4 Hg 3.00-3.20, 3 Ga 3.06
Cd 0.0000 0.0000 0.3722 x6  4 Hg 2.94-3.03, 1 Ga 3.11
Ga 0.0000 0.0000 0.5000 x3  8 Cd 3.06-3.11
Hg 0.0000 0.0000 0.2518 x6  8 Cd 2.94-3.20

Energy relative to the lowest polymorph listed for this composition   20 meV per atom
Total DFT energy (no corrections)   -20.6 eV/cell


Entry 16:
# Nd3Dy2In2

A geometry-optimized Nd3Dy2In2 structure (GGA-PBE, the Alexandria database).

a b c (Å): 17.0190 3.5320 8.0550
angles (deg): 90.00 117.79 90.00
With the nearest neighbours (Å) after each atom.
Space group C2/m (No. 12)
Unique sites:
Nd 0.0000 0.0000 0.0000 x2  4 Nd 3.22-3.53, 4 In 3.36, 2 Dy 3.38
Nd 0.2104 0.0000 0.1328 x4  5 Nd 3.22-3.53, 3 In 3.42-3.48, 3 Dy 3.56-3.59
Dy 0.1285 0.0000 0.4705 x4  4 In 3.28-3.43, 4 Nd 3.38-3.59, 2 Dy 3.53
In 0.0669 0.5000 0.7333 x4  4 Dy 3.28-3.43, 5 Nd 3.36-3.48, 3 In 3.37-3.53

Energy relative to the lowest polymorph listed for this composition   37 meV per atom
Total DFT energy (no corrections)   -59.8 eV/cell


Entry 17:
# Sr4MnP4

A geometry-optimized Sr4MnP4 structure (GGA-PBE, the Alexandria database).

a b c (Å): 8.7645 8.7645 6.3726
angles (deg): 90.00 90.00 90.00
With the nearest neighbours (Å) after each atom.
Space group P4_2/nmc (No. 137, origin choice 2)
Unique sites:
Sr 0.0218 0.2500 0.0704 x8  6 P 3.13-3.30, 1 Mn 3.14
Mn 0.2500 0.7500 0.2500 x2  4 P 2.30
P 0.0285 0.7500 0.4426 x8  1 Mn 2.30

Total DFT energy (no corrections)   -91.5 eV/cell


Entry 18:
# La5In2HgIr2

A geometry-optimized La5In2HgIr2 structure (GGA-PBE, the Alexandria database).

a b c (Å): 12.3255 12.3255 3.8807
angles (deg): 90.00 90.00 90.00
With the nearest neighbours (Å) after each atom.
Space group P4/mbm (No. 127)
Unique sites:
La 0.0000 0.5000 0.0000 x2  4 Ir 3.05
La 0.0680 0.2103 0.0000 x8  2 Ir 2.84
In 0.1837 0.6837 0.5000 x4  1 Ir 3.17
Hg 0.0000 0.0000 0.5000 x2  8 La 3.34
Ir 0.1348 0.3652 0.5000 x4  6 La 2.84-3.05, 1 In 3.17

Total DFT energy (no corrections)   -107.9 eV/cell


Entry 19:
# Sr2HfUP4

A geometry-optimized Sr2HfUP4 structure (GGA-PBE, the Alexandria database).

a b c (Å): 6.9092 4.0121 7.2694
angles (deg): 90.00 108.39 90.00
With the nearest neighbours (Å) after each atom.
Space group P2/m (No. 10)
Unique sites:
Sr 0.0000 0.0000 0.0000 x1  6 P 3.03-3.04
Sr 0.5000 0.5000 0.0000 x1  6 P 3.08-3.09
Hf 0.0000 0.5000 0.5000 x1  6 P 2.67-2.71
U 0.5000 0.0000 0.5000 x1  6 P 2.74-2.76
P 0.2308 0.0000 0.7084 x2  2 Hf 2.71, 1 U 2.74, 1 Sr 3.03
P 0.2551 0.5000 0.2894 x2  1 Hf 2.67, 2 U 2.76

Total DFT energy (no corrections)   -55.1 eV/cell


Entry 20:
# YCrC

A geometry-optimized YCrC structure (GGA-PBE, the Alexandria database).

a b c (Å): 3.1470 9.7391 5.3404
angles (deg): 90.00 90.00 90.00
With the nearest neighbours (Å) after each atom.
Space group Cmcm (No. 63)
Unique sites:
Y 0.0000 0.2082 0.2500 x4  3 C 2.66-2.73, 4 Cr 2.89
Cr 0.0000 0.5000 0.0000 x4  4 C 2.18
C 0.0000 0.0720 0.7500 x4  4 Cr 2.18

Total DFT energy (no corrections)   -99.4 eV/cell


Entry 21:
# ScSiRh2

A geometry-optimized ScSiRh2 structure (GGA-PBE, the Alexandria database).

a b c (Å): 3.0049 3.8486 5.2660
angles (deg): 90.00 90.00 90.00
With the nearest neighbours (Å) after each atom.
Space group Pmm2 (No. 25)
Unique sites:
Sc 0.0000 0.0000 0.0000 x1  6 Rh 2.49-2.78
Si 0.5000 0.5000 0.3203 x1  6 Rh 2.53-2.74
Rh 0.0000 0.0000 0.4727 x1  2 Sc 2.49-2.78, 4 Si 2.57
Rh 0.5000 0.5000 0.8001 x1  2 Si 2.53-2.74, 4 Sc 2.66

Total DFT energy (no corrections)   -29.6 eV/cell
ΔE_f (raw)   -773 meV per atom


Entry 22:
# TbPrInAu

A geometry-optimized TbPrInAu structure (GGA-PBE, the Alexandria database).

a b c (Å): 7.5556 7.5556 7.5556
angles (deg): 90.00 90.00 90.00
With the nearest neighbours (Å) after each atom.
Space group F-43m (No. 216)
Unique sites:
Tb 0.0000 0.0000 0.0000 x4  4 Au 3.27, 4 In 3.27
Pr 0.0000 0.0000 0.5000 x4  4 In 3.27, 4 Au 3.27
In 0.2500 0.2500 0.7500 x4  4 Tb 3.27, 4 Pr 3.27
Au 0.2500 0.2500 0.2500 x4  4 Tb 3.27, 4 Pr 3.27

Total DFT energy (no corrections)   -70.8 eV/cell


Entry 23:
# In2CoOs

A geometry-optimized In2CoOs structure (GGA-PBE, the Alexandria database).

a b c (Å): 3.0032 3.0032 25.7334
angles (deg): 90.00 90.00 120.00
With the nearest neighbours (Å) after each atom.
Space group R-3m (No. 166, hexagonal axes)
Unique sites:
In 0.0000 0.0000 0.2461 x6  3 Co 2.68, 3 Os 2.84
Co 0.0000 0.0000 0.5000 x3  6 In 2.68
Os 0.0000 0.0000 0.0000 x3  6 In 2.84, 6 Os 3.00

Total DFT energy (no corrections)   -65.5 eV/cell


Entry 24:
# CrBi2Rh2

A geometry-optimized CrBi2Rh2 structure (GGA-PBE, the Alexandria database).

a b c (Å): 7.3110 7.3110 3.7838
angles (deg): 90.00 90.00 90.00
With the nearest neighbours (Å) after each atom.
Space group P4/mbm (No. 127)
Unique sites:
Cr 0.0000 0.0000 0.0000 x2  4 Rh 2.83
Bi 0.1659 0.3341 0.5000 x4  6 Rh 2.77-2.92
Rh 0.1378 0.6378 0.0000 x4  6 Bi 2.77-2.92, 2 Cr 2.83, 1 Rh 2.85

Total DFT energy (no corrections)   -62.5 eV/cell


Entry 25:
# Sr2PRh

A geometry-optimized Sr2PRh structure (GGA-PBE, the Alexandria database).

a b c (Å): 4.8920 4.8920 8.0649
angles (deg): 90.00 90.00 90.00
With the nearest neighbours (Å) after each atom.
Space group I4/mmm (No. 139)
Unique sites:
Sr 0.0000 0.5000 0.2500 x4  4 Rh 3.17, 4 P 3.17, 4 Sr 3.46
P 0.0000 0.0000 0.0000 x2  8 Sr 3.17, 4 Rh 3.46
Rh 0.0000 0.0000 0.5000 x2  8 Sr 3.17, 4 P 3.46

Total DFT energy (no corrections)   -35.2 eV/cell